{"formula": "Na2SrAs2", "functional": "PBE", "state": "relaxed", "cell": [[2.2563, -13.3328, 0.0000], [2.2563, 13.3328, 0.0000], [0.0000, 0.0000, 4.4827]], "species": ["Na", "Na", "Na", "Na", "Sr", "Sr", "As", "As", "As", "As"], "fractional_positions": [[0.0559, 0.9441, 0.7500], [0.2499, 0.7501, 0.2500], [0.7501, 0.2499, 0.7500], [0.9441, 0.0559, 0.2500], [0.3571, 0.6429, 0.7500], [0.6429, 0.3571, 0.2500], [0.1718, 0.8282, 0.7500], [0.4774, 0.5226, 0.7500], [0.5226, 0.4774, 0.2500], [0.8282, 0.1718, 0.2500]], "dos_ef_per_ev_cell": 2.617, "e_above_lowest_polymorph_mev_per_atom": 0.0, "delta_e_f_mev_per_atom": -639, "total_magnetization_mub_per_cell": 0.00}